(1)
Computed, not measured: a geometry-optimized SrTa2Cd structure at the PBE level of DFT.

Unit cell a=2.963 b=2.963 c=10.205 alpha=90.00 beta=90.00 gamma=90.00
Element x y z (fractional)
Sr (0.000, 0.000, 0.000)
Ta (0.000, 0.000, 0.501)
Ta (0.500, 0.500, 0.288)
Cd (0.500, 0.500, 0.729)

energy of formation from the pure elements: 0.4843 eV/atom
energy: -6.09 eV/atom



(2)
Computed, not measured: a geometry-optimized Rb3Pm2NpS6 structure at the PBE level of DFT.

Unit cell a=7.241 b=7.241 c=8.068 alpha=98.59 beta=98.59 gamma=119.98
Element x y z (fractional)
Rb (0.000, 0.000, 0.000)
Rb (0.332, 0.668, 0.000)
Rb (0.668, 0.332, 0.000)
Pm (0.166, 0.834, 0.500)
Pm (0.834, 0.166, 0.500)
Np (0.500, 0.500, 0.500)
S (0.106, 0.435, 0.305)
S (0.236, 0.236, 0.696)
S (0.435, 0.106, 0.305)
S (0.565, 0.894, 0.695)
S (0.764, 0.764, 0.304)
S (0.894, 0.565, 0.695)

ΔE_f (raw): -1.664 eV per atom
energy: -5.84 eV/atom



(3)
Computed, not measured: a geometry-optimized CePm2Th structure at the PBE level of DFT.

Unit cell a=8.088 b=8.088 c=8.088 alpha=90.00 beta=90.00 gamma=90.00
Element x y z (fractional)
Ce (0.000, 0.000, 0.000)
Ce (0.000, 0.500, 0.500)
Ce (0.500, 0.000, 0.500)
Ce (0.500, 0.500, 0.000)
Pm (0.250, 0.250, 0.250)
Pm (0.250, 0.250, 0.750)
Pm (0.250, 0.750, 0.250)
Pm (0.250, 0.750, 0.750)
Pm (0.750, 0.250, 0.250)
Pm (0.750, 0.250, 0.750)
Pm (0.750, 0.750, 0.250)
Pm (0.750, 0.750, 0.750)
Th (0.000, 0.000, 0.500)
Th (0.000, 0.500, 0.000)
Th (0.500, 0.000, 0.000)
Th (0.500, 0.500, 0.500)

energy of formation from the pure elements: 0.2412 eV/atom
energy: -5.47 eV/atom



(4)
Computed, not measured: a geometry-optimized LaPmTc4 structure at the PBE level of DFT.

Unit cell a=5.501 b=5.501 c=5.501 alpha=60.00 beta=60.00 gamma=60.00
Element x y z (fractional)
La (0.000, 0.000, 0.000)
Pm (0.750, 0.750, 0.750)
Tc (0.375, 0.375, 0.375)
Tc (0.375, 0.375, 0.875)
Tc (0.375, 0.875, 0.375)
Tc (0.875, 0.375, 0.375)

energy of formation from the pure elements: 0.0746 eV/atom
energy: -8.45 eV/atom



(5)
Computed, not measured: a geometry-optimized AcPmZn structure at the PBE level of DFT.

Unit cell a=5.227 b=5.227 c=4.103 alpha=90.00 beta=90.00 gamma=120.00
Element x y z (fractional)
Ac (0.000, 0.000, 0.000)
Pm (0.667, 0.333, 0.500)
Zn (0.333, 0.667, 0.500)

energy of formation from the pure elements: -0.0132 eV/atom
energy: -3.39 eV/atom



(6)
Computed, not measured: a geometry-optimized CaPuBe2O6 structure at the PBE level of DFT.

Unit cell a=6.900 b=6.900 c=5.696 alpha=107.16 beta=107.16 gamma=85.38
Element x y z (fractional)
Ca (0.093, 0.907, 0.750)
Ca (0.907, 0.093, 0.250)
Pu (0.290, 0.710, 0.250)
Pu (0.710, 0.290, 0.750)
Be (0.224, 0.360, 0.843)
Be (0.360, 0.224, 0.343)
Be (0.640, 0.776, 0.657)
Be (0.776, 0.640, 0.157)
O (0.013, 0.235, 0.697)
O (0.191, 0.614, 0.881)
O (0.235, 0.013, 0.197)
O (0.292, 0.382, 0.167)
O (0.382, 0.292, 0.667)
O (0.386, 0.809, 0.619)
O (0.614, 0.191, 0.381)
O (0.618, 0.708, 0.333)
O (0.708, 0.618, 0.833)
O (0.765, 0.987, 0.803)
O (0.809, 0.386, 0.119)
O (0.987, 0.765, 0.303)

ΔE_f (raw): -2.633 eV per atom
energy: -7.99 eV/atom